(1)
First-principles (PBE) data for a relaxed structure of TlSi3Os, as listed in the Alexandria database.

For the formation energy without anion corrections, the calculation gives 454 meV/atom. As for the space group: No. 221. Its raw total energy is -5.519 eV/atom. As for the offset from the most stable computed form: 0.0000 eV per atom. The calculation puts the density of states at the Fermi level at 3.874 states/eV/f.u.

Lattice parameters (Å, degrees): 4.722 4.722 4.722 90.00 90.00 90.00
Positions (direct):
1 Tl 0.000 0.000 0.000
2 Si 0.000 0.500 0.500
3 Si 0.500 0.000 0.500
4 Si 0.500 0.500 0.000
5 Os 0.500 0.500 0.500

(2)
First-principles (PBE) data for a relaxed structure of ZnTeRh, as listed in the Alexandria database.

For the formation energy without anion corrections, the calculation gives -291 meV/atom. As for the space group: No. 216. Its raw total energy is -4.213 eV/atom. As for the offset from the most stable computed form: 0.0000 eV per atom. The calculation puts the density of states at the Fermi level at 1.384 states/eV/f.u.

Lattice parameters (Å, degrees): 4.372 4.372 4.372 60.00 60.00 60.00
Positions (direct):
1 Zn 0.000 0.000 0.000
2 Te 0.500 0.500 0.500
3 Rh 0.250 0.250 0.250

(3)
First-principles (PBE) data for a relaxed structure of LiAcBr2, as listed in the Alexandria database.

For the formation energy without anion corrections, the calculation gives -1196 meV/atom. As for the space group: No. 166. Its raw total energy is -3.538 eV/atom. The calculation puts the density of states at the Fermi level at 2.162 states/eV/f.u.

Lattice parameters (Å, degrees): 9.834 9.834 9.834 23.47 23.47 23.47
Positions (direct):
1 Li 0.000 0.000 0.000
2 Ac 0.500 0.500 0.500
3 Br 0.085 0.085 0.085
4 Br 0.915 0.915 0.915

(4)
First-principles (PBE) data for a relaxed structure of LiSiAg2F6, as listed in the Alexandria database.

For the formation energy without anion corrections, the calculation gives -2200 meV/atom. As for the space group: No. 12. Its raw total energy is -4.627 eV/atom. The calculation puts the density of states at the Fermi level at 1.954 states/eV/f.u.

Lattice parameters (Å, degrees): 6.121 6.121 5.220 103.82 103.82 48.13
Positions (direct):
1 Li 0.000 0.000 0.000
2 Si 0.500 0.500 0.500
3 Ag 0.250 0.250 0.848
4 Ag 0.750 0.750 0.152
5 F 0.246 0.725 0.260
6 F 0.275 0.754 0.740
7 F 0.341 0.341 0.454
8 F 0.659 0.659 0.546
9 F 0.725 0.246 0.260
10 F 0.754 0.275 0.740

(5)
First-principles (PBE) data for a relaxed structure of La4Tb9Er11, as listed in the Alexandria database.

As for the formation energy: 0.073 eV per atom. As for the space group: No. 65. Its raw total energy is -4.576 eV/atom. The calculation puts the density of states at the Fermi level at 29.087 states/eV/f.u.

Lattice parameters (Å, degrees): 15.080 15.080 3.709 90.00 90.00 112.65
Positions (direct):
1 La 0.054 0.252 0.000
2 La 0.252 0.054 0.000
3 La 0.748 0.946 0.000
4 La 0.946 0.748 0.000
5 Tb 0.000 0.000 0.000
6 Tb 0.135 0.661 0.000
7 Tb 0.289 0.437 0.000
8 Tb 0.339 0.865 0.000
9 Tb 0.437 0.289 0.000
10 Tb 0.563 0.711 0.000
11 Tb 0.661 0.135 0.000
12 Tb 0.711 0.563 0.000
13 Tb 0.865 0.339 0.000
14 Er 0.093 0.455 0.500
15 Er 0.140 0.860 0.500
16 Er 0.222 0.222 0.500
17 Er 0.340 0.660 0.500
18 Er 0.455 0.093 0.500
19 Er 0.500 0.500 0.500
20 Er 0.545 0.907 0.500
21 Er 0.660 0.340 0.500
22 Er 0.778 0.778 0.500
23 Er 0.860 0.140 0.500
24 Er 0.907 0.545 0.500

(6)
First-principles (PBE) data for a relaxed structure of InBRu2Cl, as listed in the Alexandria database.

For the formation energy without anion corrections, the calculation gives 1391 meV/atom. As for the space group: No. 123. Its raw total energy is -4.572 eV/atom. The calculation puts the density of states at the Fermi level at 3.363 states/eV/f.u.

Lattice parameters (Å, degrees): 4.514 4.514 3.876 90.00 90.00 90.00
Positions (direct):
1 In 0.000 0.000 0.000
2 B 0.500 0.500 0.000
3 Ru 0.000 0.500 0.500
4 Ru 0.500 0.000 0.500
5 Cl 0.500 0.500 0.500

(7)
First-principles (PBE) data for a relaxed structure of NdMgGaRh, as listed in the Alexandria database.

As for the formation energy: -0.449 eV per atom. As for the space group: No. 216. Its raw total energy is -4.634 eV/atom. The calculation puts the density of states at the Fermi level at 3.327 states/eV/f.u.

Lattice parameters (Å, degrees): 4.871 4.871 4.871 60.00 60.00 60.00
Positions (direct):
1 Nd 0.000 0.000 0.000
2 Mg 0.500 0.500 0.500
3 Ga 0.250 0.250 0.250
4 Rh 0.750 0.750 0.750

(8)
First-principles (PBE) data for a relaxed structure of SrPaSe3, as listed in the Alexandria database.

For the formation energy without anion corrections, the calculation gives -1643 meV/atom. As for the space group: No. 62. Its raw total energy is -5.969 eV/atom. As for the offset from the most stable computed form: 0.0000 eV per atom. The calculation puts the density of states at the Fermi level at 4.520 states/eV/f.u.

Lattice parameters (Å, degrees): 7.913 4.265 16.591 90.00 90.00 90.00
Positions (direct):
1 Sr 0.117 0.250 0.207
2 Sr 0.383 0.750 0.707
3 Sr 0.617 0.250 0.293
4 Sr 0.883 0.750 0.793
5 Pa 0.237 0.750 0.458
6 Pa 0.263 0.250 0.958
7 Pa 0.737 0.750 0.042
8 Pa 0.763 0.250 0.542
9 Se 0.010 0.250 0.406
10 Se 0.126 0.750 0.058
11 Se 0.173 0.250 0.792
12 Se 0.327 0.750 0.292
13 Se 0.374 0.250 0.558
14 Se 0.490 0.750 0.906
15 Se 0.510 0.250 0.094
16 Se 0.626 0.750 0.442
17 Se 0.673 0.250 0.708
18 Se 0.827 0.750 0.208
19 Se 0.874 0.250 0.942
20 Se 0.990 0.750 0.594